# Mg2AlW, optimized geometry, DFT PBE-GGA
data_Mg2AlW
_chemical_formula_sum 'Mg2 Al1 W1'
_space_group_name_H-M_alt 'P m m 2'
_space_group_IT_number 25
_space_group_name_Hall 'P 2 -2'
_cell_length_a 2.931
_cell_length_b 3.973
_cell_length_c 6.068
_cell_angle_alpha 90.00
_cell_angle_beta 90.00
_cell_angle_gamma 90.00
loop_
_atom_site_label
_atom_site_fract_x
_atom_site_fract_y
_atom_site_fract_z
_atom_site_occupancy
Mg1 0.000 0.000 0.000 1
Mg2 0.500 0.500 0.269 1
Al1 0.500 0.500 0.729 1
W1 0.000 0.000 0.522 1
# - mass density (g cm⁻³) = 6.1
# - total moment (Bohr magnetons per cell) = 0.00
# - energy relative to the elements (eV per atom) = 0.259
# - uncorrected energy (eV per atom) = -4.712

=====

# Si2AsIr, optimized geometry, DFT PBE-GGA
data_Si2AsIr
_chemical_formula_sum 'Si6 As3 Ir3'
_space_group_name_H-M_alt 'R 3 m'
_space_group_IT_number 160
_space_group_name_Hall 'R 3 -2"'
_cell_length_a 3.0542
_cell_length_b 3.0542
_cell_length_c 23.2960
_cell_angle_alpha 90.00
_cell_angle_beta 90.00
_cell_angle_gamma 120.00
loop_
_atom_site_label
_atom_site_fract_x
_atom_site_fract_y
_atom_site_fract_z
_atom_site_occupancy
Si1 0.0000 0.0000 0.0000 1
Si2 0.0000 0.0000 0.2532 1
As1 0.0000 0.0000 0.7597 1
Ir1 0.0000 0.0000 0.5126 1
# - mass density (g cm⁻³) = 8.6
# - total moment (Bohr magnetons per cell) = 0.00
# - uncorrected energy (eV per atom) = -5.910

=====

# Sc3NbAu, optimized geometry, DFT PBE-GGA
data_Sc3NbAu
_chemical_formula_sum 'Sc3 Nb1 Au1'
_space_group_name_H-M_alt 'P m -3 m'
_space_group_IT_number 221
_space_group_name_Hall '-P 4 2 3'
_cell_length_a 5.075
_cell_length_b 5.075
_cell_length_c 5.075
_cell_angle_alpha 90.00
_cell_angle_beta 90.00
_cell_angle_gamma 90.00
loop_
_atom_site_label
_atom_site_fract_x
_atom_site_fract_y
_atom_site_fract_z
_atom_site_occupancy
Sc1 0.000 0.000 0.500 1
Nb1 0.500 0.500 0.500 1
Au1 0.000 0.000 0.000 1
# - mass density (g cm⁻³) = 5.4
# - total moment (Bohr magnetons per cell) = 0.00
# - energy relative to the elements (eV per atom) = 0.541
# - uncorrected energy (eV per atom) = -5.927
# - energy above the lowest structure with this stoichiometry (meV per atom) = 0.0

=====

total moment of number 2 (Si2AsIr)? 0.00 Bohr magnetons per cell

=====

Among the records above, which one has the lowest uncorrected energy? Sc3NbAu